This record from the Alexandria database describes a relaxed ZnNCl2 crystal. The functional is PBE-GGA.

Cell and atoms, written as POSCAR:
```
ZnNCl2
1.0
-3.476 3.476 4.514
3.476 -3.476 4.514
3.476 3.476 -4.514
Zn N Cl
2 2 4
Direct
0.000 0.000 0.000
0.750 0.250 0.500
0.250 0.750 0.500
0.500 0.500 0.000
0.021 0.625 0.896
0.375 0.271 0.396
0.729 0.125 0.104
0.875 0.979 0.604
```

Summary:
Distance to the lowest polymorph of the same formula: 0 meV/atom
E_form (uncorrected): 0.47 eV per atom
Density of states at the Fermi level: 0.00 states/eV/f.u.

***

This record from the Alexandria database describes a relaxed AcAg5Sn7 crystal. The functional is PBE-GGA.

Cell and atoms, written as POSCAR:
```
AcAg5Sn7
1.0
-3.013 5.178 5.077
3.013 -5.178 5.077
3.013 5.178 -5.077
Ac Ag Sn
1 5 7
Direct
0.000 0.000 0.000
0.501 0.496 0.508
0.501 0.992 0.005
0.769 0.269 0.500
0.987 0.496 0.995
0.987 0.992 0.492
0.182 0.488 0.694
0.221 0.721 0.500
0.345 0.999 0.345
0.350 0.350 0.000
0.652 0.652 0.000
0.654 0.999 0.655
0.794 0.488 0.306
```

Summary:
Calculated formation energy: -0.108 eV/atom
Density of states at the Fermi level: 4.75 states/eV/f.u.